VASP calculation (PBE-GGA) on crystalline AgBr2 at its relaxed geometry.

a b c (Å): 6.2980 6.2980 6.2980
angles (deg): 60.00 60.00 60.00
Positions (direct):
Ag  0.5000  0.5000  0.5000
Ag  0.7500  0.7500  0.7500
Br  0.6250  0.1250  0.1250
Br  0.1250  0.6250  0.1250
Br  0.1250  0.1250  0.6250
Br  0.1250  0.1250  0.1250

Output
ΔE_f (raw)   0.609 eV per atom